Material: Li2La2Pt15
Method: DFT, PBE
State: relaxed

```
data_Li2La2Pt15
_chemical_formula_sum 'Li6 La6 Pt45'
_cell_length_a 9.3190
_cell_length_b 9.3190
_cell_length_c 13.4704
_cell_angle_alpha 90.00
_cell_angle_beta 90.00
_cell_angle_gamma 120.00
_space_group_name_H-M_alt 'R -3 m'
_space_group_IT_number 166
_space_group_name_Hall '-R 3 2"'
loop_
_atom_site_label
_atom_site_fract_x
_atom_site_fract_y
_atom_site_fract_z
Li1 0.0000 0.0000 0.0945
La1 0.0000 0.0000 0.3426
Pt1 0.0000 0.3155 0.0000
Pt2 0.0000 0.5000 0.1600
Pt3 0.0000 0.5000 0.5000
```

- total magnetization (μB/f.u.) = 0.0
- uncorrected energy (eV/cell) = -348.259